Record 1
# Sr2Li5Au

Crystalline Sr2Li5Au at its relaxed geometry (PBE-GGA, Alexandria).

Output
V: 29.0 A^3/atom
symmetry: I4mm (107)
ρ: 2.9 g/cm3
total DFT energy (no corrections): -17.50 eV/cell
energy of formation from the pure elements: -0.16 eV per atom

Structure (POSCAR):
```
Sr2Li5Au
1.0
-0.872 -1.439 5.808
3.934 -4.561 -0.538
6.265 0.887 4.309
Li Sr Au
5 2 1
Direct
0.206 0.730 0.065
0.325 0.325 0.348
0.730 0.730 0.065
0.730 0.206 0.065
0.206 0.206 0.064
0.206 0.706 0.588
0.706 0.206 0.588
0.114 0.114 0.772
```

---

Record 2
# La2CeTaN4

Crystalline La2CeTaN4 at its relaxed geometry (PBE-GGA, Alexandria).

Output
V: 15.1 A^3/atom
symmetry: Imma (74)
ρ: 9.0 g/cm3
total DFT energy (no corrections): -143.00 eV/cell
energy relative to the elements, uncorrected: -1.319 eV/atom

Structure (POSCAR):
```
La2CeTaN4
1.0
-0.939 3.447 6.020
0.747 -5.985 3.552
4.974 2.117 -4.694
N Ce Ta La
8 2 2 4
Direct
0.270 0.706 0.488
0.245 0.255 0.456
0.794 0.230 0.012
0.755 0.745 0.956
0.730 0.294 0.512
0.245 0.255 0.044
0.206 0.770 0.988
0.755 0.745 0.544
0.000 0.500 0.500
0.000 0.500 0.000
0.000 0.000 0.000
0.500 0.500 0.500
0.500 0.500 0.000
0.500 0.000 0.500
0.000 0.000 0.500
0.500 0.000 0.000
```

---

Record 3
# DyHoAg

Crystalline DyHoAg at its relaxed geometry (PBE-GGA, Alexandria).

Output
V: 26.7 A^3/atom
symmetry: Pnma (62)
ρ: 9.0 g/cm3
total DFT energy (no corrections): -50.54 eV/cell
energy of formation from the pure elements: -0.20 eV per atom

Structure (POSCAR):
```
DyHoAg
1.0
5.076 0.000 0.000
0.000 9.092 0.000
0.000 0.000 6.933
Ho Ag Dy
4 4 4
Direct
0.750 0.187 0.515
0.250 0.813 0.485
0.250 0.687 0.985
0.750 0.313 0.015
0.250 0.100 0.266
0.250 0.400 0.766
0.750 0.600 0.234
0.750 0.900 0.734
0.250 0.421 0.345
0.250 0.079 0.845
0.750 0.921 0.155
0.750 0.579 0.655
```